# ZrAl2Ag

An optimized crystal structure of ZrAl2Ag (GGA-PBE, Alexandria).

Structure (CIF):
```
data_ZrAl2Ag
_cell_length_a 5.102
_cell_length_b 5.102
_cell_length_c 5.062
_cell_angle_alpha 103.00
_cell_angle_beta 103.00
_cell_angle_gamma 35.32
_symmetry_space_group_name_H-M 'P 1'
_symmetry_Int_Tables_number 1
loop_
_symmetry_equiv_pos_as_xyz
'x,y,z'
loop_
_atom_site_label
_atom_site_type_symbol
_atom_site_fract_x
_atom_site_fract_y
_atom_site_fract_z
Zr1 Zr 0.000 0.000 0.000
Al1 Al 0.490 0.490 0.487
Al2 Al 0.753 0.753 0.245
Ag1 Ag 0.235 0.235 0.699
```

Results
spin magnetization	0.00	Bohr magnetons per cell
raw total energy	-4.872	eV/atom
density of states at the Fermi level	2.95	states/eV/cell
formation energy from the elements	-0.151	eV per atom
crystal system	monoclinic
E above lowest polymorph	0.218	eV per atom